(1)
# Cd4Hg7

A relaxed structure of Cd4Hg7 (GGA-PBE, Alexandria via LeMat-Bulk).

Cell lengths 8.9832, 8.9832, 4.1718 Å; angles 90.00, 90.00, 120.00 degrees
Last column: nearest neighbours and their distance in Å.
Positions (direct):
Cd: 0.0000 0.0000 0.0000  3 Hg 2.89
Cd: 0.5406 0.0812 0.5000  6 Hg 2.98-2.99
Cd: 0.5406 0.4594 0.5000  6 Hg 2.98-2.99
Cd: 0.9188 0.4594 0.5000  6 Hg 2.98-2.99
Hg: 0.1620 0.3240 0.5000  4 Cd 2.98-3.27
Hg: 0.1620 0.8380 0.5000  4 Cd 2.98-3.27
Hg: 0.3333 0.6667 0.0000  6 Hg 3.38
Hg: 0.3715 0.1857 0.0000  5 Cd 2.89-2.99
Hg: 0.6760 0.8380 0.5000  4 Cd 2.98-3.27
Hg: 0.8143 0.1857 0.0000  5 Cd 2.89-2.99
Hg: 0.8143 0.6285 0.0000  5 Cd 2.89-2.99

Properties
space group: P-6m2
E_tot: -0.487 eV/atom
energy of formation: 0.04 eV per atom
calculated density: 10558 kg/m³

(2)
# KTm3Te4O12

A relaxed structure of KTm3Te4O12 (GGA-PBE, Alexandria via LeMat-Bulk).

Cell lengths 7.2902, 7.2902, 7.2902 Å; angles 104.03, 104.03, 104.03 degrees
Last column: nearest neighbours and their distance in Å.
Positions (direct):
K: 0.0000 0.0000 0.0000  6 O 2.99
Tm: 0.0000 0.5749 0.4251  6 O 2.16-2.37
Tm: 0.4251 0.0000 0.5749  6 O 2.16-2.37
Tm: 0.5749 0.4251 0.0000  6 O 2.16-2.37
Te: 0.0932 0.5000 0.9068  3 O 1.94-2.01
Te: 0.5000 0.5000 0.5000  3 O 2.05
Te: 0.5000 0.9068 0.0932  3 O 1.94-2.01
Te: 0.9068 0.0932 0.5000  3 O 1.94-2.01
O: 0.0596 0.2892 0.3948  1 Te 2.01, 1 Tm 2.20
O: 0.0755 0.9245 0.5000  1 Te 1.94
O: 0.2892 0.3948 0.0596  1 Te 2.01, 1 Tm 2.20
O: 0.3216 0.6784 0.5000  1 Te 2.05, 2 Tm 2.16
O: 0.3948 0.0596 0.2892  1 Te 2.01, 1 Tm 2.20
O: 0.5000 0.0755 0.9245  1 Te 1.94
O: 0.5000 0.3216 0.6784  1 Te 2.05, 2 Tm 2.16
O: 0.6052 0.7108 0.9404  1 Te 2.01, 1 Tm 2.20
O: 0.6784 0.5000 0.3216  1 Te 2.05, 2 Tm 2.16
O: 0.7108 0.9404 0.6052  1 Te 2.01, 1 Tm 2.20
O: 0.9245 0.5000 0.0755  1 Te 1.94
O: 0.9404 0.6052 0.7108  1 Te 2.01, 1 Tm 2.20

Properties
raw formation energy: -1.822 eV per atom
space group: R32
E_tot: -6.150 eV/atom
calculated density: 5999 kg/m³

(3)
# NdNb2Ru2

A relaxed structure of NdNb2Ru2 (GGA-PBE, Alexandria via LeMat-Bulk).

Cell lengths 6.1855, 6.1855, 6.1855 Å; angles 138.19, 138.19, 60.61 degrees
Last column: nearest neighbours and their distance in Å.
Positions (direct):
Nd: 0.0000 0.0000 0.0000  8 Ru 3.38, 8 Nb 3.46
Nb: 0.2500 0.7500 0.5000  4 Ru 2.60
Nb: 0.7500 0.2500 0.5000  4 Ru 2.60
Ru: 0.3781 0.3781 0.0000  4 Nb 2.60, 1 Ru 2.60
Ru: 0.6219 0.6219 0.0000  4 Nb 2.60, 1 Ru 2.60

Properties
space group: I4/mmm
E_tot: -8.909 eV/atom
energy of formation: -0.22 eV per atom
calculated density: 8493 kg/m³

(4)
# AlZnIrPb2

A relaxed structure of AlZnIrPb2 (GGA-PBE, Alexandria via LeMat-Bulk).

Cell lengths 5.4315, 5.4315, 4.5840 Å; angles 90.00, 90.00, 90.00 degrees
Last column: nearest neighbours and their distance in Å.
Positions (direct):
Al: 0.0000 0.0000 0.0000  2 Ir 2.29
Zn: 0.5000 0.5000 0.5000  8 Pb 3.55, 4 Ir 3.84
Ir: 0.0000 0.0000 0.5000  2 Al 2.29
Pb: 0.0000 0.5000 0.0000  2 Al 2.72
Pb: 0.5000 0.0000 0.0000  2 Al 2.72

Properties
space group: P4/mmm
E_tot: -3.555 eV/atom
energy of formation: 0.70 eV per atom
calculated density: 8583 kg/m³

> Which of these has the lowest E_tot?

NdNb2Ru2